Record 1
Here is a relaxed structure of Al2InPt2 from the Alexandria database. Energies are from PBE.

a b c (Å): 3.8407 3.8407 6.6323
angles (deg): 73.17 73.17 90.00
Last column: nearest neighbours and their distance in Å.
Fractional coordinates of all 5 atoms:
1 Al 0.7500 0.2500 0.5000  4 Pt 2.51, 4 Al 2.72
2 Al 0.2500 0.7500 0.5000  4 Pt 2.51, 4 Al 2.72
3 Pt 0.3835 0.3835 0.2330  4 Al 2.51
4 Pt 0.6165 0.6165 0.7670  4 Al 2.51
5 In 0.0000 0.0000 0.0000  8 Pt 3.06

Values from the calculation:
Raw total energy ... -25.94 eV per cell
Calculated density ... 10.40 g/cm3
Total magnetic moment ... 0.000 μB per atom
Crystal system ... tetragonal
SG ... I4/mmm (139)
Formation energy ... -0.7270 eV/atom



Record 2
Here is a relaxed structure of Al2InPt from the Alexandria database. Energies are from PBE.

a b c (Å): 4.4700 4.4700 5.8287
angles (deg): 77.77 77.77 41.38
Last column: nearest neighbours and their distance in Å.
Fractional coordinates of all 4 atoms:
1 Al 0.9873 0.9873 0.0583  3 Pt 2.58-2.68, 2 Al 2.78
2 Al 0.5127 0.5127 0.4417  3 Pt 2.58-2.68, 2 Al 2.78
3 Pt 0.2500 0.2500 0.2500  6 Al 2.58-2.68
4 In 0.7500 0.7500 0.7500  6 Al 2.96, 2 In 3.16, 4 Pt 3.31

Values from the calculation:
Raw total energy ... -17.59 eV per cell
Calculated density ... 8.06 g/cm3
Total magnetic moment ... 0.000 μB per atom
Crystal system ... monoclinic
SG ... C2/m (12)
Formation energy ... -0.3317 eV/atom



Record 3
Here is a relaxed structure of Al2InPt from the Alexandria database. Energies are from PBE.

a b c (Å): 4.3159 3.5507 5.2941
angles (deg): 72.78 90.00 90.00
Last column: nearest neighbours and their distance in Å.
Fractional coordinates of all 4 atoms:
1 Al 0.0000 0.8459 0.9829  2 Pt 2.56, 2 Al 2.71-2.75
2 Al 0.0000 0.6541 0.5171  2 Pt 2.56, 2 Al 2.71-2.75
3 Pt 0.5000 0.7500 0.7500  4 Al 2.56, 2 In 2.72
4 In 0.5000 0.2500 0.2500  2 Pt 2.72

Values from the calculation:
Raw total energy ... -17.32 eV per cell
Calculated density ... 7.80 g/cm3
Total magnetic moment ... 0.000 μB per atom
Crystal system ... monoclinic
SG ... P2/m (10)
Formation energy ... -0.2627 eV/atom



Record 4
Here is a relaxed structure of Al2InPt from the Alexandria database. Energies are from PBE.

a b c (Å): 4.7693 4.7693 3.3403
angles (deg): 90.00 90.00 111.31
Last column: nearest neighbours and their distance in Å.
Fractional coordinates of all 4 atoms:
1 Al 0.0000 0.0000 0.0000  2 Al 2.69, 4 Pt 2.91, 4 In 2.91
2 Al 0.5000 0.5000 0.0000  2 Al 2.69, 4 In 2.91, 4 Pt 2.91
3 Pt 0.0000 0.5000 0.5000  2 In 2.69, 8 Al 2.91
4 In 0.5000 0.0000 0.5000  2 Pt 2.69, 8 Al 2.91

Values from the calculation:
Raw total energy ... -17.07 eV per cell
Calculated density ... 8.54 g/cm3
Total magnetic moment ... 0.000 μB per atom
Crystal system ... orthorhombic
SG ... Cmmm (65)
Formation energy ... -0.2016 eV/atom



Record 5
Here is a relaxed structure of AlInPt3 from the Alexandria database. Energies are from PBE.

a b c (Å): 4.9206 4.9206 4.9206
angles (deg): 90.00 90.00 90.00
Last column: nearest neighbours and their distance in Å.
Fractional coordinates of all 5 atoms:
1 Al 0.5000 0.5000 0.5000  12 Pt 3.48
2 Pt 0.0000 0.5000 0.0000  2 In 2.46
3 Pt 0.0000 0.0000 0.5000  2 In 2.46
4 Pt 0.5000 0.0000 0.0000  2 In 2.46
5 In 0.0000 0.0000 0.0000  6 Pt 2.46

Values from the calculation:
Raw total energy ... -19.70 eV per cell
Calculated density ... 10.13 g/cm3
Total magnetic moment ... 0.000 μB per atom
Energy above the lowest structure with this stoichiometry ... 4.37 eV/f.u.
Crystal system ... cubic
SG ... Pm-3m (221)
Formation energy ... 0.9802 eV/atom



Record 6
Here is a relaxed structure of AlInPt4 from the Alexandria database. Energies are from PBE.

a b c (Å): 5.3316 5.3316 5.3316
angles (deg): 60.00 60.00 60.00
Last column: nearest neighbours and their distance in Å.
Fractional coordinates of all 6 atoms:
1 Al 0.7500 0.7500 0.7500  12 Pt 3.13, 4 In 3.26
2 In 0.0000 0.0000 0.0000  12 Pt 3.13, 4 Al 3.26
3 Pt 0.8746 0.3751 0.3751  6 Pt 2.66-2.67
4 Pt 0.3751 0.3751 0.8746  6 Pt 2.66-2.67
5 Pt 0.3751 0.8746 0.3751  6 Pt 2.66-2.67
6 Pt 0.3751 0.3751 0.3751  6 Pt 2.66-2.67

Values from the calculation:
Raw total energy ... -31.81 eV per cell
Calculated density ... 14.29 g/cm3
Total magnetic moment ... 0.000 μB per atom
Crystal system ... cubic
SG ... F-43m (216)
Formation energy ... -0.1942 eV/atom



Record 7
Here is a relaxed structure of AlInRe2Pt from the Alexandria database. Energies are from PBE.

a b c (Å): 4.8604 4.6194 4.8604
angles (deg): 90.00 90.00 90.00
Last column: nearest neighbours and their distance in Å.
Fractional coordinates of all 5 atoms:
1 Re 0.0000 0.0000 0.5000  2 In 2.43
2 Re 0.5000 0.0000 0.0000  2 In 2.43
3 Al 0.0000 0.5000 0.0000  2 In 2.31
4 Pt 0.5000 0.5000 0.5000  8 Re 3.35, 4 Al 3.44
5 In 0.0000 0.0000 0.0000  2 Al 2.31, 4 Re 2.43

Values from the calculation:
Raw total energy ... -24.94 eV per cell
Calculated density ... 10.79 g/cm3
Total magnetic moment ... 0.453 μB per atom
Crystal system ... tetragonal
SG ... P4/mmm (123)
Formation energy ... 2.4958 eV/atom



Record 8
Here is a relaxed structure of AlIn2PtS from the Alexandria database. Energies are from PBE.

a b c (Å): 5.1329 4.5490 5.1329
angles (deg): 90.00 90.00 90.00
Last column: nearest neighbours and their distance in Å.
Fractional coordinates of all 5 atoms:
1 S 0.0000 0.0000 0.0000  2 Al 2.27
2 Al 0.0000 0.5000 0.0000  2 S 2.27
3 Pt 0.5000 0.5000 0.5000  8 In 3.43, 4 Al 3.63
4 In 0.0000 0.0000 0.5000  2 S 2.57
5 In 0.5000 0.0000 0.0000  2 S 2.57

Values from the calculation:
Raw total energy ... -16.95 eV per cell
Calculated density ... 6.70 g/cm3
Total magnetic moment ... 0.000 μB per atom
Formation energy without anion corrections ... 0.49 eV/atom
Crystal system ... tetragonal
SG ... P4/mmm (123)



Record 9
Here is a relaxed structure of SmAlInPt3 from the Alexandria database. Energies are from PBE.

a b c (Å): 5.6819 5.7127 8.8465
angles (deg): 108.84 90.00 90.00
Last column: nearest neighbours and their distance in Å.
Fractional coordinates of all 12 atoms:
1 Sm 0.7500 0.2872 0.5745  4 Pt 2.86-2.99
2 Sm 0.2500 0.7128 0.4255  4 Pt 2.86-2.99
3 Al 0.2500 0.4131 0.8262  5 Pt 2.45-2.48
4 Al 0.7500 0.5869 0.1738  5 Pt 2.45-2.48
5 In 0.2500 0.1077 0.2155  5 Pt 2.66-2.71
6 In 0.7500 0.8923 0.7845  5 Pt 2.66-2.71
7 Pt 0.2500 0.2665 0.5331  1 Al 2.45, 1 In 2.66
8 Pt 0.0000 0.2505 0.0000  2 Al 2.48, 2 In 2.71
9 Pt 0.5000 0.7495 0.0000  2 Al 2.48, 2 In 2.71
10 Pt 0.5000 0.2505 0.0000  2 Al 2.48, 2 In 2.71
11 Pt 0.0000 0.7495 0.0000  2 Al 2.48, 2 In 2.71
12 Pt 0.7500 0.7335 0.4669  1 Al 2.45, 1 In 2.66

Values from the calculation:
Raw total energy ... -67.24 eV per cell
Calculated density ... 10.72 g/cm3
Total magnetic moment ... 0.000 μB per atom
Crystal system ... orthorhombic
SG ... Cmcm (63)
Formation energy ... -0.7161 eV/atom



Record 10
Here is a relaxed structure of Sm2Al2InPt5 from the Alexandria database. Energies are from PBE.

a b c (Å): 3.7436 10.0308 10.0308
angles (deg): 90.00 90.00 90.00
Last column: nearest neighbours and their distance in Å.
Fractional coordinates of all 20 atoms:
1 Sm 0.0000 0.6794 0.1794  3 Al 2.87-3.05, 6 Pt 3.16-3.20
2 Sm 0.0000 0.3206 0.8206  3 Al 2.87-3.05, 6 Pt 3.16-3.20
3 Sm 0.0000 0.1794 0.3206  3 Al 2.87-3.05, 6 Pt 3.16-3.20
4 Sm 0.0000 0.8206 0.6794  3 Al 2.87-3.05, 6 Pt 3.16-3.20
5 Al 0.0000 0.1186 0.6186  6 Pt 2.52-2.57
6 Al 0.0000 0.8814 0.3814  6 Pt 2.52-2.57
7 Al 0.0000 0.6186 0.8814  6 Pt 2.52-2.57
8 Al 0.0000 0.3814 0.1186  6 Pt 2.52-2.57
9 In 0.0000 0.0000 0.0000  8 Pt 2.93
10 In 0.0000 0.5000 0.5000  8 Pt 2.93
11 Pt 0.5000 0.2149 0.0644  2 Al 2.57
12 Pt 0.5000 0.7851 0.9356  2 Al 2.57
13 Pt 0.5000 0.0644 0.7851  2 Al 2.57
14 Pt 0.5000 0.7149 0.4356  2 Al 2.57
15 Pt 0.5000 0.9356 0.2149  2 Al 2.57
16 Pt 0.5000 0.2851 0.5644  2 Al 2.57
17 Pt 0.5000 0.5644 0.7149  2 Al 2.57
18 Pt 0.5000 0.4356 0.2851  2 Al 2.57
19 Pt 0.5000 0.5000 0.0000  4 Al 2.52
20 Pt 0.5000 0.0000 0.5000  4 Al 2.52

Values from the calculation:
Raw total energy ... -118.15 eV per cell
Calculated density ... 12.74 g/cm3
Total magnetic moment ... 0.000 μB per atom
Crystal system ... tetragonal
SG ... P4/mbm (127)
Formation energy ... -0.9208 eV/atom



Record 11
Here is a relaxed structure of Sm2AlInPt6 from the Alexandria database. Energies are from PBE.

a b c (Å): 6.8194 6.6681 8.7938
angles (deg): 50.04 48.61 79.62
Last column: nearest neighbours and their distance in Å.
Fractional coordinates of all 10 atoms:
1 Sm 0.2499 0.7506 0.5436  5 Pt 2.95-3.28
2 Sm 0.7501 0.2494 0.4564  5 Pt 2.95-3.28
3 Al 0.5000 0.5000 0.0000  6 Pt 2.50-2.55
4 In 0.0000 0.0000 0.0000  6 Pt 2.66-2.69
5 Pt 0.2565 0.7500 0.1615  1 Al 2.55, 1 In 2.66, 4 Pt 2.73-2.80
6 Pt 0.7642 0.7335 0.9885  1 Al 2.50, 1 In 2.69, 3 Pt 2.73-2.74
7 Pt 0.2622 0.2366 0.4873  1 Al 2.50, 1 In 2.69, 3 Pt 2.73-2.74
8 Pt 0.7435 0.2500 0.8385  1 Al 2.55, 1 In 2.66, 4 Pt 2.73-2.80
9 Pt 0.2358 0.2665 0.0115  1 Al 2.50, 1 In 2.69, 3 Pt 2.73-2.74
10 Pt 0.7378 0.7634 0.5127  1 Al 2.50, 1 In 2.69, 3 Pt 2.73-2.74

Values from the calculation:
Raw total energy ... -60.18 eV per cell
Calculated density ... 12.87 g/cm3
Total magnetic moment ... 0.000 μB per atom
Crystal system ... triclinic
SG ... P-1 (2)
Formation energy ... -0.8015 eV/atom



Record 12
Here is a relaxed structure of Sr2AlInPt6 from the Alexandria database. Energies are from PBE.

a b c (Å): 8.7841 5.5511 7.0383
angles (deg): 66.77 49.43 90.00
Last column: nearest neighbours and their distance in Å.
Fractional coordinates of all 10 atoms:
1 Sr 0.2929 0.7486 0.5028  7 Pt 3.19-3.40
2 Sr 0.7071 0.2514 0.4972  7 Pt 3.19-3.40
3 Al 0.5000 0.5000 0.0000  6 Pt 2.50-2.62
4 In 0.0000 0.0000 0.0000  6 Pt 2.70-2.75
5 Pt 0.2528 0.7401 0.0203  1 Al 2.50, 4 Pt 2.69-2.78, 1 In 2.70
6 Pt 0.7471 0.7603 0.9799  1 Al 2.50, 4 Pt 2.69-2.78, 1 In 2.70
7 Pt 0.0918 0.2517 0.4963  1 Al 2.62, 4 Pt 2.69-2.73, 1 In 2.75
8 Pt 0.7472 0.2599 0.9797  1 Al 2.50, 4 Pt 2.69-2.78, 1 In 2.70
9 Pt 0.2529 0.2397 0.0201  1 Al 2.50, 4 Pt 2.69-2.78, 1 In 2.70
10 Pt 0.9082 0.7483 0.5037  1 Al 2.62, 4 Pt 2.69-2.73, 1 In 2.75

Values from the calculation:
Raw total energy ... -52.89 eV per cell
Calculated density ... 11.09 g/cm3
Total magnetic moment ... 0.000 μB per atom
Crystal system ... monoclinic
SG ... C2/m (12)
Formation energy ... -0.6799 eV/atom